No. 1
Material: AcPrGaRu
Method: DFT, PBE-GGA
State: optimized geometry

It has space group F-43m (No. 216), with a = 7.443 Å, b = 7.443 Å, c = 7.443 Å, α = 90.00°, β = 90.00° and γ = 90.00°. The asymmetric unit holds Ac at (0.000, 0.000, 0.000), Pr at (0.000, 0.000, 0.500), Ga at (0.250, 0.250, 0.750) and Ru at (0.250, 0.250, 0.250).

The calculation puts the total energy at -5.48 eV/atom. Its density is 8.677 g/cm³. The density of states at the Fermi level is 11.23 states/eV/cell.

=====

No. 2
Material: AcPrGaRu
Method: DFT, PBE-GGA
State: optimized geometry

It has space group Amm2 (No. 38), with a = 4.302 Å, b = 4.549 Å, c = 10.972 Å, α = 90.00°, β = 90.00° and γ = 90.00°. The asymmetric unit holds Ac at (0.000, 0.000, 0.000), Pr at (0.500, 0.000, 0.284), Ga at (0.500, 0.000, 0.591) and Ru at (0.000, 0.000, 0.721).

The calculation puts the total energy at -5.63 eV/atom. Its density is 8.332 g/cm³. The density of states at the Fermi level is 7.60 states/eV/cell.

=====

Number 1: E_form -18 kJ per mole of atoms. Number 2: E_form -32 kJ per mole of atoms.